The following is a DFT calculation (PBE) of crystalline CeHgH at its relaxed geometry.

Unit cell a=3.2718 b=3.2718 c=11.3010 alpha=90.00 beta=90.00 gamma=90.00
Space group I4mm (No. 107)
Inequivalent atoms, fractional coordinates:
1 Ce 0.0000 0.0000 0.0000
2 Hg 0.0000 0.0000 0.2842
3 H 0.0000 0.0000 0.5475

Calculated values
Uncorrected energy = -3.337 eV per atom
Volume = 121.0 Å³/cell
Density of states at the Fermi level = 6.63 states/eV/f.u.
Energy above the most stable polymorph in this dataset = 282.5 meV per atom
ρ = 9.4 g/cm3